Entry 1:
Here is a relaxed AcTbPdAu crystal from the Alexandria database. Energies are from PBE-GGA.

The structure in extended XYZ format:
```
4
Lattice="3.974 0.000 0.000 0.000 4.877 0.000 -1.987 0.000 5.507" Properties=species:S:1:pos:R:3 pbc="T T T"
Ac 0.000 0.000 1.550
Tb 1.987 2.439 4.030
Au 1.987 2.439 0.883
Pd 0.000 0.000 4.550
```

Computed properties:
ΔE_f = -0.806 eV per atom
SG = Amm2 (38)
crystal system = orthorhombic
relative energy among the computed polymorphs = 0.0 meV/atom

Entry 2:
Here is a relaxed AcTbPdAu crystal from the Alexandria database. Energies are from PBE-GGA.

The structure in extended XYZ format:
```
4
Lattice="-3.461 0.215 -3.975 -2.333 -4.412 -1.707 -5.131 -0.798 0.925" Properties=species:S:1:pos:R:3 pbc="T T T"
Pd -5.462 -2.497 -2.379
Au 0.000 0.000 0.000
Ac -8.193 -3.746 -3.568
Tb -2.731 -1.249 -1.189
```

Computed properties:
ΔE_f = -0.730 eV per atom
SG = F-43m (216)
crystal system = cubic
relative energy among the computed polymorphs = 76.5 meV/atom

Entry 3:
Here is a relaxed AcTePdAu crystal from the Alexandria database. Energies are from PBE-GGA.

The structure in extended XYZ format:
```
4
Lattice="-3.032 2.917 -3.082 -5.079 0.511 1.068 -1.856 4.558 1.727" Properties=species:S:1:pos:R:3 pbc="T T T"
Au 0.000 0.000 0.000
Te -7.475 5.990 -0.216
Pd -4.984 3.993 -0.144
Ac -2.492 1.997 -0.072
```

Computed properties:
E_form (uncorrected) = -67 kJ per mole of atoms
SG = F-43m (216)
crystal system = cubic

Number 2 is which compound?
AcTbPdAu